## SiSnTeCl2 (PBE)

Data for a relaxed SiSnTeCl2 crystal.

Unit cell a=5.2367 b=5.2367 c=5.5700 alpha=90.00 beta=90.00 gamma=90.00
Fractional coordinates of all 5 atoms:
Si (0.0000, 0.0000, 0.0000)
Sn (0.5000, 0.5000, 0.0000)
Te (0.0000, 0.0000, 0.5000)
Cl (0.0000, 0.5000, 0.5000)
Cl (0.5000, 0.0000, 0.5000)

Output
N(E_F) = 0.90 states/eV per atom
ρ = 3.8 g cm⁻³
formation energy from raw total energies = 406 meV per atom